An optimized crystal structure of TlPN3. Source: Alexandria via LeMat-Bulk, functional PBE-GGA.

Geometry as POSCAR:
```
TlPN3
1.0
3.657 0.000 0.000
0.000 3.657 0.000
0.000 0.000 3.657
Tl P N
1 1 3
Direct
0.000 0.000 0.000
0.500 0.500 0.500
0.000 0.500 0.500
0.500 0.000 0.500
0.500 0.500 0.000
```

Computed properties:
Space group: Pm-3m, No. 221
ΔE_f (raw), eV/f.u.: 6.1

=====

An optimized crystal structure of TaRu. Source: Alexandria via LeMat-Bulk, functional PBE-GGA.

Geometry as POSCAR:
```
TaRu
1.0
2.908 0.000 0.000
-1.454 2.519 0.000
0.000 0.000 13.266
Ta Ru
3 3
Direct
0.000 0.000 0.000
0.333 0.667 0.667
0.667 0.333 0.333
0.000 0.000 0.500
0.333 0.667 0.167
0.667 0.333 0.833
```

Computed properties:
Space group: R-3m, No. 166
Energy of formation, kJ per mole of atoms: -4

=====

In order of appearance, total energy = -5.3221, -10.6016 eV/atom.